# 1
The following is a PBE-GGA calculation of crystalline MgNpHg2 at its relaxed geometry, from Alexandria via LeMat-Bulk.

Calculated values
**Crystal system**: tetragonal
**ΔH_f (0 K)**: 0.005 eV per atom
**Calculated volume**: 22.7 Å³/atom
**Space-group type**: P4/mmm
**E_tot**: -15.1 eV/cell
**ρ**: 12.118 g/cm³

POSCAR file:
```
MgNpHg2
1.0
3.268 0.000 0.000
0.000 3.268 0.000
0.000 0.000 8.499
Mg Np Hg
1 1 2
Direct
0.000 0.000 0.000
0.000 0.000 0.500
0.500 0.500 0.225
0.500 0.500 0.775
```

# 2
The following is a PBE-GGA calculation of crystalline Ac4TbPm4 at its relaxed geometry, from Alexandria via LeMat-Bulk.

Calculated values
**Crystal system**: tetragonal
**ΔH_f (0 K)**: 0.044 eV per atom
**Calculated volume**: 38.6 Å³/atom
**Space-group type**: I4/mmm
**E_tot**: -39.7 eV/cell
**ρ**: 7.875 g/cm³

POSCAR file:
```
Ac4TbPm4
1.0
-5.695 5.695 2.677
5.695 -5.695 2.677
5.695 5.695 -2.677
Ac Tb Pm
4 1 4
Direct
0.166 0.166 0.332
0.166 0.834 0.000
0.834 0.166 0.000
0.834 0.834 0.668
0.500 0.500 0.000
0.161 0.500 0.661
0.500 0.161 0.661
0.500 0.839 0.339
0.839 0.500 0.339
```

# 3
The following is a PBE-GGA calculation of crystalline AcSmLuAl at its relaxed geometry, from Alexandria via LeMat-Bulk.

Calculated values
**Crystal system**: cubic
**ΔH_f (0 K)**: 0.095 eV per atom
**Calculated volume**: 29.6 Å³/atom
**Space-group type**: F-43m
**E_tot**: -16.7 eV/cell
**ρ**: 8.120 g/cm³

POSCAR file:
```
AcSmLuAl
1.0
0.000 3.898 3.898
3.898 0.000 3.898
3.898 3.898 0.000
Ac Sm Lu Al
1 1 1 1
Direct
0.000 0.000 0.000
0.250 0.250 0.250
0.750 0.750 0.750
0.500 0.500 0.500
```

# 4
The following is a PBE-GGA calculation of crystalline Pr4ZnHgO at its relaxed geometry, from Alexandria via LeMat-Bulk.

Calculated values
**Crystal system**: orthorhombic
**Calculated volume**: 27.1 Å³/atom
**Formation energy from raw total energies**: -0.9523 eV/atom
**Space-group type**: Cmcm
**E_tot**: -64.6 eV/cell
**ρ**: 7.399 g/cm³

POSCAR file:
```
Pr4ZnHgO
1.0
3.526 -7.618 0.000
3.526 7.618 0.000
0.000 0.000 7.066
Pr Zn Hg O
8 2 2 2
Direct
0.000 0.500 0.000
0.000 0.500 0.500
0.067 0.933 0.750
0.425 0.575 0.750
0.500 0.000 0.000
0.500 0.000 0.500
0.575 0.425 0.250
0.933 0.067 0.250
0.128 0.872 0.250
0.872 0.128 0.750
0.379 0.621 0.250
0.621 0.379 0.750
0.249 0.751 0.750
0.751 0.249 0.250
```

# 5
The following is a PBE-GGA calculation of crystalline SrCe2Tl at its relaxed geometry, from Alexandria via LeMat-Bulk.

Calculated values
**Crystal system**: trigonal
**ΔH_f (0 K)**: 0.225 eV per atom
**Calculated volume**: 33.7 Å³/atom
**Space-group type**: R-3m
**E_tot**: -15.0 eV/cell
**ρ**: 7.056 g/cm³

POSCAR file:
```
SrCe2Tl
1.0
1.767 1.020 12.452
-1.767 1.020 12.452
0.000 -2.040 12.452
Sr Ce Tl
1 2 1
Direct
0.000 0.000 0.000
0.094 0.094 0.094
0.906 0.906 0.906
0.500 0.500 0.500
```

# 6
The following is a PBE-GGA calculation of crystalline ReAu3Br at its relaxed geometry, from Alexandria via LeMat-Bulk.

Calculated values
**Crystal system**: cubic
**Calculated volume**: 26.0 Å³/atom
**Formation energy from raw total energies**: 1.2688 eV/atom
**Energy above the most stable polymorph in this dataset**: 0 meV per atom
**Space-group type**: Pm-3m
**E_tot**: -17.6 eV/cell
**ρ**: 10.941 g/cm³

POSCAR file:
```
ReAu3Br
1.0
5.067 0.000 0.000
0.000 5.067 0.000
0.000 0.000 5.067
Re Au Br
1 3 1
Direct
0.000 0.000 0.000
0.000 0.000 0.500
0.000 0.500 0.000
0.500 0.000 0.000
0.500 0.500 0.500
```

# 7
The following is a PBE-GGA calculation of crystalline NbTl2Rh2 at its relaxed geometry, from Alexandria via LeMat-Bulk.

Calculated values
**Crystal system**: tetragonal
**ΔH_f (0 K)**: 0.683 eV per atom
**Calculated volume**: 20.2 Å³/atom
**Energy above the most stable polymorph in this dataset**: 350 meV per atom
**Space-group type**: I4/mmm
**E_tot**: -26.1 eV/cell
**ρ**: 11.632 g/cm³

POSCAR file:
```
NbTl2Rh2
1.0
-1.910 1.910 6.918
1.910 -1.910 6.918
1.910 1.910 -6.918
Nb Tl Rh
1 2 2
Direct
0.000 0.000 0.000
0.392 0.392 0.000
0.608 0.608 0.000
0.250 0.750 0.500
0.750 0.250 0.500
```

# 8
The following is a PBE-GGA calculation of crystalline TbZrPb at its relaxed geometry, from Alexandria via LeMat-Bulk.

Calculated values
**Crystal system**: tetragonal
**ΔH_f (0 K)**: -0.159 eV per atom
**Calculated volume**: 25.9 Å³/atom
**Energy above the most stable polymorph in this dataset**: 243 meV per atom
**Space-group type**: I4mm
**E_tot**: -17.4 eV/cell
**ρ**: 9.765 g/cm³

POSCAR file:
```
TbZrPb
1.0
-1.967 1.967 5.027
1.967 -1.967 5.027
1.967 1.967 -5.027
Tb Zr Pb
1 1 1
Direct
0.000 0.000 0.000
0.321 0.321 0.000
0.672 0.672 0.000
```

# 9
The following is a PBE-GGA calculation of crystalline TlCl at its relaxed geometry, from Alexandria via LeMat-Bulk.

Calculated values
**Crystal system**: orthorhombic
**Calculated volume**: 32.4 Å³/atom
**Formation energy from raw total energies**: -0.9069 eV/atom
**Space-group type**: Imma
**E_tot**: -12.1 eV/cell
**ρ**: 6.141 g/cm³

POSCAR file:
```
TlCl
1.0
-1.980 2.536 6.458
1.980 -2.536 6.458
1.980 2.536 -6.458
Tl Cl
2 2
Direct
0.358 0.108 0.250
0.642 0.892 0.750
0.152 0.402 0.750
0.848 0.598 0.250
```

# 10
The following is a PBE-GGA calculation of crystalline Be2AsCl at its relaxed geometry, from Alexandria via LeMat-Bulk.

Calculated values
**Crystal system**: orthorhombic
**Calculated volume**: 16.4 Å³/atom
**Formation energy from raw total energies**: 0.3906 eV/atom
**Energy above the most stable polymorph in this dataset**: 805 meV per atom
**Space-group type**: Pmmm
**E_tot**: -12.4 eV/cell
**ρ**: 3.256 g/cm³

POSCAR file:
```
Be2AsCl
1.0
3.128 0.000 0.000
0.000 3.396 0.000
0.000 0.000 6.165
Be As Cl
2 1 1
Direct
0.000 0.000 0.000
0.000 0.500 0.500
0.500 0.000 0.500
0.500 0.500 0.000
```

# 11
The following is a PBE-GGA calculation of crystalline ScH5 at its relaxed geometry, from Alexandria via LeMat-Bulk.

Calculated values
**Crystal system**: orthorhombic
**Calculated volume**: 5.9 Å³/atom
**Space-group type**: Cmmm
**E_tot**: -22.0 eV/cell
**ρ**: 2.335 g/cm³

POSCAR file:
```
ScH5
1.0
1.612 -3.398 0.000
1.612 3.398 0.000
0.000 0.000 3.245
Sc H
1 5
Direct
0.000 0.000 0.000
0.165 0.835 0.500
0.304 0.696 0.000
0.500 0.500 0.500
0.696 0.304 0.000
0.835 0.165 0.500
```

# 12
The following is a PBE-GGA calculation of crystalline Tl2PCl at its relaxed geometry, from Alexandria via LeMat-Bulk.

Calculated values
**Crystal system**: cubic
**Calculated volume**: 25.3 Å³/atom
**Formation energy from raw total energies**: 0.1910 eV/atom
**Energy above the most stable polymorph in this dataset**: 401 meV per atom
**Space-group type**: F-43m
**E_tot**: -11.2 eV/cell
**ρ**: 7.801 g/cm³

POSCAR file:
```
Tl2PCl
1.0
0.000 3.698 3.698
3.698 0.000 3.698
3.698 3.698 0.000
Tl P Cl
2 1 1
Direct
0.000 0.000 0.000
0.250 0.250 0.250
0.750 0.750 0.750
0.500 0.500 0.500
```

# 13
The following is a PBE-GGA calculation of crystalline PmY2AgN at its relaxed geometry, from Alexandria via LeMat-Bulk.

Calculated values
**Crystal system**: tetragonal
**Calculated volume**: 23.0 Å³/atom
**Formation energy from raw total energies**: -0.7084 eV/atom
**Space-group type**: P4/mmm
**E_tot**: -32.4 eV/cell
**ρ**: 6.435 g/cm³

POSCAR file:
```
PmY2AgN
1.0
4.778 0.000 0.000
0.000 4.778 0.000
0.000 0.000 5.026
Pm Y Ag N
1 2 1 1
Direct
0.000 0.000 0.000
0.000 0.500 0.500
0.500 0.000 0.500
0.500 0.500 0.000
0.000 0.000 0.500
```

# 14
The following is a PBE-GGA calculation of crystalline InAs2Os at its relaxed geometry, from Alexandria via LeMat-Bulk.

Calculated values
**Crystal system**: tetragonal
**ΔH_f (0 K)**: 0.656 eV per atom
**Calculated volume**: 18.0 Å³/atom
**Space-group type**: I-4m2
**E_tot**: -20.6 eV/cell
**ρ**: 10.502 g/cm³

POSCAR file:
```
InAs2Os
1.0
-2.110 2.110 4.039
2.110 -2.110 4.039
2.110 2.110 -4.039
In As Os
1 2 1
Direct
0.000 0.000 0.000
0.500 0.500 0.000
0.750 0.250 0.500
0.250 0.750 0.500
```

# 15
The following is a PBE-GGA calculation of crystalline LiWAu2 at its relaxed geometry, from Alexandria via LeMat-Bulk.

Calculated values
**Crystal system**: monoclinic
**ΔH_f (0 K)**: 0.304 eV per atom
**Calculated volume**: 16.9 Å³/atom
**Energy above the most stable polymorph in this dataset**: 283 meV per atom
**Space-group type**: C2/m
**E_tot**: -20.2 eV/cell
**ρ**: 14.365 g/cm³

POSCAR file:
```
LiWAu2
1.0
4.405 -1.352 0.000
4.405 1.352 0.000
-0.583 0.000 5.675
Li W Au
1 1 2
Direct
0.000 0.000 0.000
0.500 0.500 0.500
0.248 0.248 0.752
0.752 0.752 0.248
```

# 16
The following is a PBE-GGA calculation of crystalline Re3MoCl at its relaxed geometry, from Alexandria via LeMat-Bulk.

Calculated values
**Crystal system**: cubic
**Calculated volume**: 16.2 Å³/atom
**Formation energy from raw total energies**: 1.6677 eV/atom
**Energy above the most stable polymorph in this dataset**: 0 meV per atom
**Space-group type**: Pm-3m
**E_tot**: -41.7 eV/cell
**ρ**: 14.128 g/cm³

POSCAR file:
```
Re3MoCl
1.0
4.329 0.000 0.000
0.000 4.329 0.000
0.000 0.000 4.329
Re Mo Cl
3 1 1
Direct
0.000 0.000 0.500
0.000 0.500 0.000
0.500 0.000 0.000
0.500 0.500 0.500
0.000 0.000 0.000
```

# 17
The following is a PBE-GGA calculation of crystalline Ac4CdRh at its relaxed geometry, from Alexandria via LeMat-Bulk.

Calculated values
**Crystal system**: cubic
**ΔH_f (0 K)**: -0.384 eV per atom
**Calculated volume**: 34.6 Å³/atom
**Space-group type**: F-43m
**E_tot**: -108.0 eV/cell
**ρ**: 8.986 g/cm³

POSCAR file:
```
Ac4CdRh
1.0
0.000 7.460 7.460
7.460 0.000 7.460
7.460 7.460 0.000
Ac Cd Rh
16 4 4
Direct
0.060 0.060 0.440
0.060 0.440 0.060
0.060 0.440 0.440
0.188 0.188 0.812
0.188 0.812 0.188
0.188 0.812 0.812
0.208 0.597 0.597
0.440 0.060 0.060
0.440 0.060 0.440
0.440 0.440 0.060
0.597 0.208 0.597
0.597 0.597 0.208
0.597 0.597 0.597
0.812 0.188 0.188
0.812 0.188 0.812
0.812 0.812 0.188
0.513 0.829 0.829
0.829 0.513 0.829
0.829 0.829 0.513
0.829 0.829 0.829
0.392 0.392 0.392
0.392 0.392 0.825
0.392 0.825 0.392
0.825 0.392 0.392
```

# 18
The following is a PBE-GGA calculation of crystalline PuCoSnPd at its relaxed geometry, from Alexandria via LeMat-Bulk.

Calculated values
**Crystal system**: cubic
**ΔH_f (0 K)**: -0.257 eV per atom
**Calculated volume**: 18.7 Å³/atom
**Space-group type**: F-43m
**E_tot**: -31.7 eV/cell
**ρ**: 11.701 g/cm³

POSCAR file:
```
PuCoSnPd
1.0
0.000 3.346 3.346
3.346 0.000 3.346
3.346 3.346 0.000
Pu Co Sn Pd
1 1 1 1
Direct
0.000 0.000 0.000
0.750 0.750 0.750
0.500 0.500 0.500
0.250 0.250 0.250
```

# 19
The following is a PBE-GGA calculation of crystalline DyGaSi at its relaxed geometry, from Alexandria via LeMat-Bulk.

Calculated values
**Crystal system**: orthorhombic
**Calculated volume**: 19.7 Å³/atom
**Formation energy from raw total energies**: -0.6233 eV/atom
**Space-group type**: Imma
**E_tot**: -29.8 eV/cell
**ρ**: 7.312 g/cm³

POSCAR file:
```
DyGaSi
1.0
-2.093 4.007 3.524
2.093 -4.007 3.524
2.093 4.007 -3.524
Dy Ga Si
2 2 2
Direct
0.000 0.000 0.000
0.500 0.000 0.500
0.416 0.666 0.750
0.584 0.334 0.250
0.078 0.328 0.750
0.922 0.672 0.250
```

no.,DOS(E_F) (states/eV/f.u.)
1,6.867
2,14.300
3,7.212
4,3.281
5,11.295
6,5.023
7,7.120
8,4.527
9,0.000
10,1.144
11,1.440
12,3.379
13,5.429
14,2.701
15,2.545
16,4.676
17,5.246
18,9.093
19,0.706